La2CrTc | Alexandria | SCAN | single point on PBEsol structure; V = 23.0 Å³/atom; density of states at the Fermi level = 3.91 states/eV per cell; DFT total energy = -138.68 eV for the cell shown; total magnetic moment = 1.64 Bohr magnetons per cell
1.0
-1.711 2.393 5.605
1.711 -2.393 5.605
1.711 2.393 -5.605
La Cr Tc
2 1 1
direct
0.000 0.000 0.000
0.713 0.213 0.500
0.420 0.420 0.000
0.290 0.790 0.500

BaYTa2 | Alexandria | SCAN | single point on PBEsol structure; V = 24.2 Å³/atom; density of states at the Fermi level = 4.49 states/eV per cell; DFT total energy = -196.40 eV for the cell shown; total magnetic moment = 0.00 Bohr magnetons per cell
1.0
1.578 0.911 11.223
-1.578 0.911 11.223
0.000 -1.822 11.223
Ba Y Ta
1 1 2
direct
0.000 0.000 0.000
0.500 0.500 0.500
0.243 0.243 0.243
0.757 0.757 0.757

BaTa2In | Alexandria | SCAN | single point on PBEsol structure; V = 23.2 Å³/atom; density of states at the Fermi level = 3.59 states/eV per cell; DFT total energy = -204.15 eV for the cell shown; total magnetic moment = 0.00 Bohr magnetons per cell
1.0
1.778 -2.499 0.000
1.778 2.499 0.000
0.000 0.000 10.446
Ba Ta In
1 2 1
direct
0.000 0.000 0.000
0.000 0.000 0.485
0.500 0.500 0.291
0.500 0.500 0.711

SnSbOsI2 | Alexandria | SCAN | single point on PBEsol structure; V = 36.8 Å³/atom; density of states at the Fermi level = 5.27 states/eV per cell; DFT total energy = -210.20 eV for the cell shown; total magnetic moment = 3.34 Bohr magnetons per cell
1.0
5.672 0.000 0.000
0.000 5.672 0.000
0.000 0.000 5.725
Sn Sb Os I
1 1 1 2
direct
0.000 0.000 0.000
0.000 0.000 0.500
0.500 0.500 0.500
0.000 0.500 0.000
0.500 0.000 0.000

TbH3O3 | Alexandria | SCAN | single point on PBEsol structure; V = 8.4 Å³/atom; density of states at the Fermi level = 0.00 states/eV per cell; DFT total energy = -181.41 eV for the cell shown; total magnetic moment = 0.00 Bohr magnetons per cell
1.0
6.227 0.000 0.000
-3.114 5.393 0.000
0.000 0.000 3.514
Tb H O
2 6 6
direct
0.333 0.667 0.250
0.667 0.333 0.750
0.131 0.278 0.750
0.146 0.869 0.750
0.278 0.146 0.250
0.722 0.854 0.750
0.854 0.131 0.250
0.869 0.722 0.250
0.083 0.690 0.750
0.310 0.393 0.750
0.393 0.083 0.250
0.607 0.917 0.750
0.690 0.607 0.250
0.917 0.310 0.250

LaTcTeRh2 | Alexandria | SCAN | single point on PBEsol structure; V = 22.4 Å³/atom; density of states at the Fermi level = 5.37 states/eV per cell; DFT total energy = -182.59 eV for the cell shown; total magnetic moment = 0.00 Bohr magnetons per cell
1.0
4.692 0.000 0.000
0.000 4.692 0.000
0.000 0.000 5.096
La Tc Te Rh
1 1 1 2
direct
0.000 0.000 0.000
0.500 0.500 0.500
0.500 0.500 0.000
0.000 0.500 0.500
0.500 0.000 0.500

ZnRe2SnCl | Alexandria | SCAN | single point on PBEsol structure; V = 22.5 Å³/atom; density of states at the Fermi level = 4.51 states/eV per cell; DFT total energy = -189.37 eV for the cell shown; total magnetic moment = 6.22 Bohr magnetons per cell
1.0
4.710 0.000 0.000
0.000 4.710 0.000
0.000 0.000 5.065
Zn Re Sn Cl
1 2 1 1
direct
0.000 0.000 0.000
0.000 0.500 0.000
0.500 0.000 0.000
0.000 0.000 0.500
0.500 0.500 0.500

InSiTe | Alexandria | SCAN | single point on PBEsol structure; V = 24.5 Å³/atom; density of states at the Fermi level = 1.53 states/eV per cell; DFT total energy = -79.93 eV for the cell shown; total magnetic moment = 0.00 Bohr magnetons per cell
1.0
3.950 0.000 0.000
-1.975 3.421 0.000
0.000 0.000 5.434
In Si Te
1 1 1
direct
0.000 0.000 0.000
0.333 0.667 0.693
0.667 0.333 0.395